The following is a DFT calculation (GGA-PBE) of a relaxed BaLaTl crystal.

distance to the lowest polymorph of the same formula: 0.18 eV per formula unit
DOS(E_F): 0.350 states/eV/atom
calculated formation energy: -69 kJ/mol of formula units

Cell and atoms, written as POSCAR:
```
BaLaTl
1.0
4.984 -2.873 0.000
4.984 2.873 0.000
-0.001 0.000 8.085
Ba La Tl
2 2 2
direct
0.000 0.000 0.000 Ba
0.667 0.667 0.754 Ba
0.001 0.001 0.489 La
0.333 0.333 0.287 La
0.334 0.334 0.694 Tl
0.667 0.667 0.259 Tl
```